# 1
This record from Alexandria describes crystalline Tb3YZn4 at its relaxed geometry. The functional is GGA-PBE.

The value obtained for the formation energy from the elements is -0.34 eV per atom. The value obtained for the total energy is -3.526 eV per atom. For the density of states at the Fermi level, the calculation gives 1.1987 states/eV/atom. As for the total magnetic moment: 0.000 μB/atom.

The space group is R-3m (No. 166, hexagonal axes) and the conventional cell measures 5.0733, 5.0733 and 24.7712 Å, with angles of 90.00, 90.00 and 120.00 degrees. Symmetry generates all atoms from Tb at (0.0000, 0.0000, 0.0000), Tb at (0.0000, 0.0000, 0.2500), Y at (0.0000, 0.0000, 0.5000), Zn at (0.0000, 0.0000, 0.1250) and Zn at (0.0000, 0.0000, 0.3750).



# 2
This record from Alexandria describes crystalline Mn2Ge5Pd12 at its relaxed geometry. The functional is GGA-PBE.

The value obtained for the formation energy from the elements is -0.20 eV per atom. The value obtained for the total energy is -5.664 eV per atom. For the density of states at the Fermi level, the calculation gives 0.5302 states/eV/atom. As for the total magnetic moment: 0.116 μB/atom.

The space group is C2/m (No. 12) and the conventional cell measures 13.543, 5.648 and 8.202 Å, with angles of 90.00, 94.30 and 90.00 degrees. Symmetry generates all atoms from Mn at (0.000, 0.172, 0.000), Ge at (0.000, 0.500, 0.500), Ge at (0.155, 0.000, 0.879), Ge at (0.210, 0.000, 0.392), Pd at (0.011, 0.500, 0.205), Pd at (0.033, 0.000, 0.313), Pd at (0.141, 0.247, 0.617) and Pd at (0.185, 0.252, 0.135).



# 3
This record from Alexandria describes crystalline Ca3MgSn at its relaxed geometry. The functional is GGA-PBE.

The value obtained for the energy above the most stable polymorph in this dataset is 287 meV per atom. The value obtained for the formation energy from the elements is -0.06 eV per atom. The value obtained for the total energy is -2.379 eV per atom. For the density of states at the Fermi level, the calculation gives 0.8585 states/eV/atom. As for the total magnetic moment: 0.000 μB/atom.

The space group is Pm-3m (No. 221) and the conventional cell measures 5.975, 5.975 and 5.975 Å, with angles of 90.00, 90.00 and 90.00 degrees. Symmetry generates all atoms from Ca at (0.000, 0.000, 0.500), Mg at (0.500, 0.500, 0.500) and Sn at (0.000, 0.000, 0.000).



# 4
This record from Alexandria describes crystalline Ac6Te3As2S at its relaxed geometry. The functional is GGA-PBE.

The value obtained for the total energy is -5.579 eV per atom. For the density of states at the Fermi level, the calculation gives 0.4469 states/eV/atom. The energy relative to the elements, uncorrected comes out at -1.621 eV/atom. As for the total magnetic moment: 0.000 μB/atom.

The space group is C2/m (No. 12) and the conventional cell measures 20.241, 4.557 and 9.314 Å, with angles of 90.00, 105.30 and 90.00 degrees. Symmetry generates all atoms from Ac at (0.005, 0.000, 0.229), Ac at (0.158, 0.500, 0.095), Ac at (0.173, 0.500, 0.568), Te at (0.000, 0.500, 0.500), Te at (0.168, 0.000, 0.834), As at (0.166, 0.000, 0.332) and S at (0.000, 0.500, 0.000).



# 5
This record from Alexandria describes crystalline CsCeBeO4 at its relaxed geometry. The functional is GGA-PBE.

The value obtained for the total energy is -6.706 eV per atom. For the density of states at the Fermi level, the calculation gives 0.1512 states/eV/atom. The energy relative to the elements, uncorrected comes out at -2.371 eV/atom. As for the total magnetic moment: 0.030 μB/atom.

The space group is P2_1/m (No. 11) and the conventional cell measures 5.767, 4.704 and 8.400 Å, with angles of 90.00, 102.70 and 90.00 degrees. Symmetry generates all atoms from Cs at (0.240, 0.250, 0.452), Ce at (0.233, 0.250, 0.938), Be at (0.260, 0.750, 0.159), O at (0.063, 0.750, 0.268), O at (0.113, 0.750, 0.967) and O at (0.470, 0.506, 0.176).



# 6
This record from Alexandria describes crystalline LaVB2Br at its relaxed geometry. The functional is GGA-PBE.

The value obtained for the total energy is -3.754 eV per atom. For the density of states at the Fermi level, the calculation gives 0.9666 states/eV/atom. The energy relative to the elements, uncorrected comes out at 2.061 eV/atom. As for the total magnetic moment: 0.465 μB/atom.

The space group is P4/mmm (No. 123) and the conventional cell measures 4.725, 4.725 and 6.182 Å, with angles of 90.00, 90.00 and 90.00 degrees. Symmetry generates all atoms from La at (0.000, 0.000, 0.000), V at (0.000, 0.000, 0.500), B at (0.000, 0.500, 0.000) and Br at (0.500, 0.500, 0.500).